# 1
KLa3I SCAN single point on PBEsol structure; ΔE_f (raw) = 801.0 meV per atom; total magnetic moment = 0.00 μB per formula unit; V = 178.3 Å³/cell
1.0
5.628 0.000 0.000
0.000 5.628 0.000
0.000 0.000 5.628
La I K
3 1 1
direct
0.000 0.500 0.000
0.000 0.000 0.500
0.500 0.000 0.000
0.500 0.500 0.500
0.000 0.000 0.000

# 2
ZnSi2Tc SCAN single point on PBEsol structure; ΔE_f (raw) = -24.1 meV per atom; total magnetic moment = 0.00 μB per formula unit; V = 54.3 Å³/cell; relative energy among the computed polymorphs = 1.62 kcal/mol of atoms
1.0
3.097 0.000 0.000
0.000 4.279 -0.574
-1.549 -1.131 4.251
Zn Si Tc
1 2 1
direct
0.758 0.194 0.516
0.233 0.647 0.465
0.003 0.055 0.006
0.507 0.604 0.014

# 3
MnZnSi2 SCAN single point on PBEsol structure; ΔE_f (raw) = 194.0 meV per atom; total magnetic moment = 2.95 μB per formula unit; V = 112.9 Å³/cell
1.0
3.723 0.000 0.000
0.000 3.723 0.000
-1.861 -1.861 8.149
Si Mn Zn
4 2 2
direct
0.125 0.145 0.750
0.395 0.875 0.250
0.625 0.605 0.750
0.855 0.375 0.250
0.750 0.250 0.500
0.500 0.500 0.000
0.250 0.750 0.500
0.000 0.000 0.000

# 4
CoPd2Cl SCAN single point on PBEsol structure; ΔE_f (raw) = 344.5 meV per atom; total magnetic moment = 3.03 μB per formula unit; V = 57.6 Å³/cell
1.0
-2.884 3.009 1.187
-2.560 1.841 -2.973
-4.236 -0.910 -0.075
Cl Co Pd
1 1 2
direct
0.000 0.000 0.000
0.500 0.500 0.500
0.750 0.750 0.750
0.250 0.250 0.250

# 5
CrCo2 SCAN single point on PBEsol structure; total magnetic moment = 1.65 μB per formula unit; V = 61.4 Å³/cell; formation energy = 0.243 eV per atom
1.0
-1.348 -1.810 -0.941
4.407 -1.361 -0.519
-1.364 -1.761 5.343
Co Cr
4 2
direct
0.668 0.336 0.335
0.389 0.778 0.276
0.330 0.661 0.667
0.003 0.005 0.000
0.725 0.450 0.949
0.051 0.103 0.607

# 6
CuRe2Te SCAN single point on PBEsol structure; ΔE_f (raw) = 941.9 meV per atom; total magnetic moment = 0.00 μB per formula unit; V = 63.3 Å³/cell
1.0
-1.015 -0.197 -2.832
2.746 -3.868 -0.104
-4.301 -0.444 2.871
Re Cu Te
2 1 1
direct
0.000 0.000 0.500
0.500 0.500 0.500
0.500 0.000 0.000
0.000 0.500 0.000

# 7
BaPS2N SCAN single point on PBEsol structure; ΔE_f (raw) = -381.8 meV per atom; total magnetic moment = 0.00 μB per formula unit; V = 87.5 Å³/cell
1.0
3.528 0.000 0.000
0.000 4.980 0.000
0.000 0.000 4.980
N P Ba S
1 1 1 2
direct
0.500 0.000 0.000
0.000 0.000 0.000
0.500 0.500 0.500
0.000 0.500 0.000
0.000 0.000 0.500

# 8
HgPRh2 SCAN single point on PBEsol structure; total magnetic moment = 0.00 μB per formula unit; V = 64.7 Å³/cell; formation energy = -0.128 eV per atom
1.0
3.062 0.000 0.075
0.000 4.302 0.000
-1.055 0.000 4.885
Hg P Rh
1 1 2
direct
0.407 0.000 0.445
0.239 0.500 0.904
0.020 0.000 0.910
0.835 0.500 0.240

# 9
CsZrSn3 SCAN single point on PBEsol structure; total magnetic moment = 0.00 μB per formula unit; V = 173.2 Å³/cell; formation energy = -0.159 eV per atom
1.0
-2.210 -4.649 2.139
1.180 -2.730 -4.715
4.980 -1.416 2.066
Sn Zr Cs
3 1 1
direct
0.000 0.000 0.500
0.500 0.000 0.000
0.000 0.500 0.000
0.000 0.000 0.000
0.500 0.500 0.500

# 10
Tl2SeCl SCAN single point on PBEsol structure; ΔE_f (raw) = -608.6 meV per atom; total magnetic moment = 0.00 μB per formula unit; V = 117.6 Å³/cell; relative energy among the computed polymorphs = 0.17 kcal/mol of atoms
1.0
4.174 0.000 0.000
0.000 4.174 0.000
0.000 0.000 6.749
Cl Se Tl
1 1 2
direct
0.000 0.000 0.431
0.500 0.500 0.864
0.000 0.000 0.853
0.500 0.500 0.352

# 11
CoMo2W SCAN single point on PBEsol structure; total magnetic moment = 0.00 μB per formula unit; V = 56.2 Å³/cell; formation energy = 0.162 eV per atom; relative energy among the computed polymorphs = 0.00 kcal/mol of atoms
1.0
-1.110 -2.330 0.622
0.860 -0.332 -2.490
7.236 -2.686 2.857
Co Mo W
1 2 1
direct
0.500 0.500 0.000
0.000 0.000 0.226
0.000 0.000 0.774
0.500 0.500 0.500

# 12
Cd3BRh SCAN single point on PBEsol structure; total magnetic moment = 0.00 μB per formula unit; V = 83.8 Å³/cell; formation energy = 0.629 eV per atom
1.0
-1.410 1.699 -3.779
-1.637 -3.895 -1.141
-3.806 1.046 1.890
Cd B Rh
3 1 1
direct
0.000 0.000 0.500
0.500 0.000 0.000
0.000 0.500 0.000
0.000 0.000 0.000
0.500 0.500 0.500